Computed, not measured: crystalline TbEr5Bi5 at its relaxed geometry at the PBE level of DFT.

a = 13.826 Å, b = 6.235 Å, c = 8.789 Å
α = 90.00°, β = 108.39°, γ = 90.00°
Space group C2/m (No. 12)
One atom of each set of equivalent atoms:
Tb  0.000  0.000  0.000 [2 per cell]
Er  0.000  0.000  0.500 [2 per cell]
Er  0.162  0.500  0.336 [4 per cell]
Er  0.163  0.500  0.827 [4 per cell]
Bi  0.000  0.500  0.000 [2 per cell]
Bi  0.168  0.000  0.337 [4 per cell]
Bi  0.171  0.000  0.831 [4 per cell]

## Properties
Formation enthalpy at 0 K, eV/atom: -0.6237



Computed, not measured: crystalline Sr3Hg2Pt7 at its relaxed geometry at the PBE level of DFT.

a = 5.6638 Å, b = 5.6638 Å, c = 27.0740 Å
α = 90.00°, β = 90.00°, γ = 120.00°
Space group R-3m (No. 166, hexagonal axes)
One atom of each set of equivalent atoms:
Sr  0.0000  0.0000  0.0000 [3 per cell]
Sr  0.0000  0.0000  0.1408 [6 per cell]
Hg  0.0000  0.0000  0.3336 [6 per cell]
Pt  0.0000  0.0000  0.5000 [3 per cell]
Pt  0.0029  0.5014  0.9143 [18 per cell]

## Properties
Formation enthalpy at 0 K, eV/atom: -0.6554



Computed, not measured: crystalline Pa3Si3Tc2Ni at its relaxed geometry at the PBE level of DFT.

a = 6.9434 Å, b = 6.9434 Å, c = 3.8597 Å
α = 90.00°, β = 90.00°, γ = 120.00°
Space group P-62m (No. 189)
One atom of each set of equivalent atoms:
Pa  0.0000  0.5888  0.0000 [3 per cell]
Si  0.0000  0.2335  0.5000 [3 per cell]
Tc  0.3333  0.6667  0.5000 [2 per cell]
Ni  0.0000  0.0000  0.0000 [1 per cell]

## Properties
Energy relative to the elements, uncorrected, meV/atom: -562



Calculated magnetic moment in order - 0.00, 0.00, 0.00 μB per atom